MgFeNiTe3 (PBE, relaxed); symmetry = Cmcm (63); excess energy over the best structure of this formula in the dataset = 27 meV per atom
1.0
1.888 -6.546 0.000
1.888 6.546 0.000
0.000 0.000 10.445
Mg Fe Ni Te
2 2 2 6
direct
0.235 0.765 0.750 Mg
0.765 0.235 0.250 Mg
0.423 0.577 0.250 Fe
0.577 0.423 0.750 Fe
0.000 0.000 0.000 Ni
0.000 0.000 0.500 Ni
0.059 0.941 0.250 Te
0.362 0.638 0.022 Te
0.362 0.638 0.478 Te
0.638 0.362 0.522 Te
0.638 0.362 0.978 Te
0.941 0.059 0.750 Te

=====

Sc2Zn2Ir (PBE, relaxed); symmetry = I4/mmm (139); energy relative to the elements = 0.058 eV per atom
1.0
-1.780 1.780 14.386
1.780 -1.780 14.386
1.780 1.780 -14.386
Sc Zn Ir
4 4 2
direct
0.087 0.087 0.000 Sc
0.250 0.750 0.500 Sc
0.750 0.250 0.500 Sc
0.913 0.913 0.000 Sc
0.000 0.500 0.500 Zn
0.176 0.176 0.000 Zn
0.500 0.000 0.500 Zn
0.824 0.824 0.000 Zn
0.359 0.359 0.000 Ir
0.641 0.641 0.000 Ir

=====

ThTlHg (PBE, relaxed); symmetry = F-43m (216); excess energy over the best structure of this formula in the dataset = 171 meV per atom
1.0
0.000 3.675 3.675
3.675 0.000 3.675
3.675 3.675 0.000
Th Tl Hg
1 1 1
direct
0.000 0.000 0.000 Th
0.250 0.250 0.250 Tl
0.750 0.750 0.750 Hg

=====

GaReNiPd (PBE, relaxed); symmetry = F-43m (216); DFT total energy = -25.3 eV/cell
1.0
0.000 3.046 3.046
3.046 0.000 3.046
3.046 3.046 0.000
Ga Re Ni Pd
1 1 1 1
direct
0.000 0.000 0.000 Ga
0.500 0.500 0.500 Re
0.250 0.250 0.250 Ni
0.750 0.750 0.750 Pd